(1)
# Ge2OsW | Alexandria via LeMat-Bulk | PBE | relaxed
data_Ge2OsW
_cell_length_a 6.196
_cell_length_b 6.196
_cell_length_c 6.196
_cell_angle_alpha 90.00
_cell_angle_beta 90.00
_cell_angle_gamma 90.00
_space_group_name_H-M_alt 'F m -3 m'
_space_group_IT_number 225
_space_group_name_Hall '-F 4 2 3'
loop_
_atom_site_label
_atom_site_fract_x
_atom_site_fract_y
_atom_site_fract_z
Ge1 0.250 0.250 0.250
Os1 0.000 0.000 0.000
W1 0.000 0.000 0.500
# Mass density (g/cm3): 14.50
# Energy above the lowest structure with this stoichiometry (eV per atom): 0.000
# Raw total energy (hartree per atom): -0.29401
# E_form (eV per atom): 0.354

=====

(2)
# Dy2Si2Rh5Pb | Alexandria via LeMat-Bulk | PBE | relaxed
data_Dy2Si2Rh5Pb
_cell_length_a 9.853
_cell_length_b 9.853
_cell_length_c 3.567
_cell_angle_alpha 90.00
_cell_angle_beta 90.00
_cell_angle_gamma 90.00
_space_group_name_H-M_alt 'P 4/m b m'
_space_group_IT_number 127
_space_group_name_Hall '-P 4 2ab'
loop_
_atom_site_label
_atom_site_fract_x
_atom_site_fract_y
_atom_site_fract_z
Dy1 0.176 0.324 0.000
Si1 0.120 0.620 0.000
Rh1 0.000 0.500 0.500
Rh2 0.070 0.779 0.500
Pb1 0.000 0.000 0.000
# Mass density (g/cm3): 10.58
# Raw formation energy (meV per atom): -877
# Raw total energy (hartree per atom): -0.25463

=====

(3)
# Li2SiAs | Alexandria via LeMat-Bulk | PBE | relaxed
data_Li2SiAs
_cell_length_a 6.491
_cell_length_b 6.491
_cell_length_c 6.491
_cell_angle_alpha 90.00
_cell_angle_beta 90.00
_cell_angle_gamma 90.00
_space_group_name_H-M_alt 'F -4 3 m'
_space_group_IT_number 216
_space_group_name_Hall 'F -4 2 3'
loop_
_atom_site_label
_atom_site_fract_x
_atom_site_fract_y
_atom_site_fract_z
Li1 0.000 0.000 0.000
Li2 0.250 0.250 0.250
Si1 0.250 0.250 0.750
As1 0.000 0.000 0.500
# Mass density (g/cm3): 2.84
# Energy above the lowest structure with this stoichiometry (eV per atom): 0.243
# Raw formation energy (meV per atom): -53
# Raw total energy (hartree per atom): -0.12966

=====

(4)
# ScCu2Re | Alexandria via LeMat-Bulk | PBE | relaxed
data_ScCu2Re
_cell_length_a 3.998
_cell_length_b 3.998
_cell_length_c 7.397
_cell_angle_alpha 90.00
_cell_angle_beta 90.00
_cell_angle_gamma 90.00
_space_group_name_H-M_alt 'I 4/m m m'
_space_group_IT_number 139
_space_group_name_Hall '-I 4 2'
loop_
_atom_site_label
_atom_site_fract_x
_atom_site_fract_y
_atom_site_fract_z
Sc1 0.000 0.000 0.000
Cu1 0.000 0.500 0.250
Re1 0.000 0.000 0.500
# Mass density (g/cm3): 10.06
# Energy above the lowest structure with this stoichiometry (eV per atom): 0.067
# Raw total energy (hartree per atom): -0.24194
# E_form (eV per atom): 0.159

=====

(5)
# TmCdPb4 | Alexandria via LeMat-Bulk | PBE | relaxed
data_TmCdPb4
_cell_length_a 6.923
_cell_length_b 8.107
_cell_length_c 6.759
_cell_angle_alpha 90.00
_cell_angle_beta 90.00
_cell_angle_gamma 90.00
_space_group_name_H-M_alt 'P m m a'
_space_group_IT_number 51
_space_group_name_Hall '-P 2a 2a'
loop_
_atom_site_label
_atom_site_fract_x
_atom_site_fract_y
_atom_site_fract_z
Tm1 0.250 0.000 0.163
Cd1 0.250 0.500 0.642
Pb1 0.000 0.201 0.500
Pb2 0.000 0.304 0.000
# Mass density (g/cm3): 9.72
# Raw total energy (hartree per atom): -0.12426
# E_form (eV per atom): -0.011

=====

(6)
# LiBiO2 | Alexandria via LeMat-Bulk | PBE | relaxed
data_LiBiO2
_cell_length_a 3.478
_cell_length_b 3.478
_cell_length_c 9.569
_cell_angle_alpha 90.00
_cell_angle_beta 90.00
_cell_angle_gamma 90.00
_space_group_name_H-M_alt 'P 4/n m m'
_space_group_IT_number 129
loop_
_space_group_symop_operation_xyz
'x,y,z'
'-x,-y,-z'
'-y+1/2,x,z'
'y+1/2,-x,-z'
'-x+1/2,-y+1/2,z'
'x+1/2,y+1/2,-z'
'y,-x+1/2,z'
'-y,x+1/2,-z'
'x+1/2,-y,-z'
'-x+1/2,y,z'
'-y,-x,-z'
'y,x,z'
'-x,y+1/2,-z'
'x,-y+1/2,z'
'y+1/2,x+1/2,-z'
'-y+1/2,-x+1/2,z'
loop_
_atom_site_label
_atom_site_fract_x
_atom_site_fract_y
_atom_site_fract_z
Li1 0.250 0.750 0.000
Bi1 0.250 0.250 0.312
O1 0.250 0.250 0.096
O2 0.250 0.250 0.674
# Mass density (g/cm3): 7.11
# Raw formation energy (meV per atom): -1452
# Raw total energy (hartree per atom): -0.19769

=====

(7)
# YSn2Pb | Alexandria via LeMat-Bulk | PBE | relaxed
data_YSn2Pb
_cell_length_a 4.542
_cell_length_b 4.564
_cell_length_c 10.538
_cell_angle_alpha 90.00
_cell_angle_beta 90.00
_cell_angle_gamma 90.00
_space_group_name_H-M_alt 'I m m m'
_space_group_IT_number 71
_space_group_name_Hall '-I 2 2'
loop_
_atom_site_label
_atom_site_fract_x
_atom_site_fract_y
_atom_site_fract_z
Y1 0.000 0.000 0.000
Sn1 0.000 0.500 0.250
Pb1 0.000 0.000 0.500
# Mass density (g/cm3): 8.11
# Raw total energy (hartree per atom): -0.17954
# E_form (eV per atom): -0.341

=====

(8)
# Tl2BPd5 | Alexandria via LeMat-Bulk | PBE | relaxed
data_Tl2BPd5
_cell_length_a 5.740
_cell_length_b 5.740
_cell_length_c 8.614
_cell_angle_alpha 90.00
_cell_angle_beta 90.00
_cell_angle_gamma 90.00
_space_group_name_H-M_alt 'I 4 m m'
_space_group_IT_number 107
_space_group_name_Hall 'I 4 -2'
loop_
_atom_site_label
_atom_site_fract_x
_atom_site_fract_y
_atom_site_fract_z
Tl1 0.000 0.500 0.000
B1 0.000 0.000 0.241
Pd1 0.000 0.000 0.996
Pd2 0.247 0.247 0.752
# Mass density (g/cm3): 11.14
# Raw total energy (hartree per atom): -0.17858
# E_form (eV per atom): -0.188

=====

(9)
# Dy2ZrGe3 | Alexandria via LeMat-Bulk | PBE | relaxed
data_Dy2ZrGe3
_cell_length_a 4.054
_cell_length_b 5.719
_cell_length_c 12.115
_cell_angle_alpha 90.00
_cell_angle_beta 90.00
_cell_angle_gamma 90.00
_space_group_name_H-M_alt 'I m m m'
_space_group_IT_number 71
_space_group_name_Hall '-I 2 2'
loop_
_atom_site_label
_atom_site_fract_x
_atom_site_fract_y
_atom_site_fract_z
Dy1 0.000 0.000 0.170
Zr1 0.000 0.000 0.500
Ge1 0.000 0.500 0.155
Ge2 0.000 0.500 0.500
# Mass density (g/cm3): 7.50
# Raw total energy (hartree per atom): -0.21889
# E_form (eV per atom): -0.689

=====

(10)
# LiThGa2Ir2 | Alexandria via LeMat-Bulk | PBE | relaxed
data_LiThGa2Ir2
_cell_length_a 4.3324
_cell_length_b 4.3324
_cell_length_c 6.6689
_cell_angle_alpha 90.00
_cell_angle_beta 90.00
_cell_angle_gamma 120.00
_space_group_name_H-M_alt 'P -3 m 1'
_space_group_IT_number 164
_space_group_name_Hall '-P 3 2"'
loop_
_atom_site_label
_atom_site_fract_x
_atom_site_fract_y
_atom_site_fract_z
Li1 0.0000 0.0000 0.0000
Th1 0.0000 0.0000 0.5000
Ga1 0.3333 0.6667 0.8348
Ir1 0.3333 0.6667 0.2309
# Mass density (g/cm3): 11.69
# Raw total energy (hartree per atom): -0.22872
# E_form (eV per atom): -0.706

=====

(11)
# PmY2Zn2In2 | Alexandria via LeMat-Bulk | PBE | relaxed
data_PmY2Zn2In2
_cell_length_a 4.7195
_cell_length_b 4.7195
_cell_length_c 27.7697
_cell_angle_alpha 90.00
_cell_angle_beta 90.00
_cell_angle_gamma 120.00
_space_group_name_H-M_alt 'R -3 m'
_space_group_IT_number 166
_space_group_name_Hall '-R 3 2"'
loop_
_atom_site_label
_atom_site_fract_x
_atom_site_fract_y
_atom_site_fract_z
Pm1 0.0000 0.0000 0.0000
Y1 0.0000 0.0000 0.1280
Zn1 0.0000 0.0000 0.3997
In1 0.0000 0.0000 0.2607
# Mass density (g/cm3): 6.35
# Raw total energy (hartree per atom): -0.14619
# E_form (eV per atom): -0.306

=====

(12)
# Tb2HgPb2 | Alexandria via LeMat-Bulk | PBE | relaxed
data_Tb2HgPb2
_cell_length_a 5.1278
_cell_length_b 5.1278
_cell_length_c 12.5642
_cell_angle_alpha 90.00
_cell_angle_beta 90.00
_cell_angle_gamma 120.00
_space_group_name_H-M_alt 'P 63/m m c'
_space_group_IT_number 194
_space_group_name_Hall '-P 6c 2c'
loop_
_atom_site_label
_atom_site_fract_x
_atom_site_fract_y
_atom_site_fract_z
Tb1 0.0000 0.0000 0.0000
Tb2 0.3333 0.6667 0.2500
Hg1 0.0000 0.0000 0.2500
Pb1 0.3333 0.6667 0.6057
# Mass density (g/cm3): 10.83
# Energy above the lowest structure with this stoichiometry (eV per atom): 0.000
# Raw total energy (hartree per atom): -0.13966
# E_form (eV per atom): -0.405